Entry 1:
Entry from Alexandria via LeMat-Bulk: a geometry-optimized Ac2YBi3Rh4 structure (GGA-PBE).

Summary:
The value obtained for the formation energy is -0.62 eV/atom. The crystal system is tetragonal.

```
data_Ac2YBi3Rh4
_space_group_name_H-M_alt 'P -4 m 2'
_space_group_IT_number 115
_cell_length_a 4.6311
_cell_length_b 4.6311
_cell_length_c 11.5995
_cell_angle_alpha 90.00
_cell_angle_beta 90.00
_cell_angle_gamma 90.00
loop_
_space_group_symop_operation_xyz
'x,y,z'
'y,-x,-z'
'-x,-y,z'
'-y,x,-z'
'-x,y,z'
'-y,-x,-z'
'x,-y,z'
'y,x,-z'
loop_
_atom_site_label
_atom_site_fract_x
_atom_site_fract_y
_atom_site_fract_z
_atom_site_occupancy
Ac1 0.0000 0.5000 0.2331 1
Y1 0.0000 0.0000 0.5000 1
Bi1 0.0000 0.5000 0.8739 1
Bi2 0.5000 0.5000 0.5000 1
Rh1 0.0000 0.0000 0.0000 1
Rh2 0.0000 0.5000 0.6420 1
Rh3 0.5000 0.5000 0.0000 1
```

---

Entry 2:
Entry from Alexandria via LeMat-Bulk: a geometry-optimized YCrP2N6 structure (GGA-PBE).

Summary:
For the uncorrected formation energy, the calculation gives -0.5358 eV per atom. The crystal system is monoclinic.

```
data_YCrP2N6
_space_group_name_H-M_alt 'C 1 2/c 1'
_space_group_IT_number 15
_cell_length_a 10.0369
_cell_length_b 9.7137
_cell_length_c 5.5693
_cell_angle_alpha 90.00
_cell_angle_beta 113.11
_cell_angle_gamma 90.00
loop_
_space_group_symop_operation_xyz
'x,y,z'
'-x,-y,-z'
'-x,y,-z+1/2'
'x,-y,z+1/2'
'x+1/2,y+1/2,z'
'-x+1/2,-y+1/2,-z'
'-x+1/2,y+1/2,-z+1/2'
'x+1/2,-y+1/2,z+1/2'
loop_
_atom_site_label
_atom_site_fract_x
_atom_site_fract_y
_atom_site_fract_z
_atom_site_occupancy
Y1 0.0000 0.1181 0.2500 1
Cr1 0.0000 0.2217 0.7500 1
P1 0.1977 0.4271 0.1800 1
N1 0.1038 0.2844 0.0680 1
N2 0.1227 0.0988 0.6984 1
N3 0.1662 0.4689 0.4355 1
```

---

Entry 3:
Entry from Alexandria via LeMat-Bulk: a geometry-optimized TaAs2HF structure (GGA-PBE).

Summary:
The energy is -0.1635 hartree per atom. The crystal system is tetragonal.

```
data_TaAs2HF
_space_group_name_H-M_alt 'P 4/m m m'
_space_group_IT_number 123
_space_group_name_Hall '-P 4 2'
_cell_length_a 4.8701
_cell_length_b 4.8701
_cell_length_c 3.8987
_cell_angle_alpha 90.00
_cell_angle_beta 90.00
_cell_angle_gamma 90.00
loop_
_atom_site_label
_atom_site_fract_x
_atom_site_fract_y
_atom_site_fract_z
_atom_site_occupancy
Ta1 0.0000 0.0000 0.0000 1
As1 0.0000 0.5000 0.5000 1
H1 0.5000 0.5000 0.0000 1
F1 0.0000 0.0000 0.5000 1
```